The following is a DFT calculation (PBE+U) of an optimized crystal structure of Pa2CoO5.

Summary:
- volume (Å³ per cell) = 298
- SG = No. 63
- total energy (eV per atom) = -8.895

a b c (Å): 6.2080 6.2080 11.9547
angles (deg): 90.00 90.00 139.73
With the nearest neighbours (Å) after each atom.
Positions (direct):
Pa 0.1390 0.8610 0.5660  6 O 2.17-2.38
Pa 0.1390 0.8610 0.9340  6 O 2.17-2.38
Pa 0.8610 0.1390 0.0660  6 O 2.17-2.38
Pa 0.8610 0.1390 0.4340  6 O 2.17-2.38
Co 0.0260 0.9740 0.2500  2 O 1.89
Co 0.9740 0.0260 0.7500  2 O 1.89
O 0.0515 0.9485 0.0943  1 Co 1.89
O 0.0515 0.9485 0.4057  1 Co 1.89
O 0.1559 0.8441 0.7500  1 Co 2.12, 2 Pa 2.21
O 0.3131 0.6869 0.0374  3 Pa 2.23-2.38
O 0.3131 0.6869 0.4626  3 Pa 2.23-2.38
O 0.6869 0.3131 0.5374  3 Pa 2.23-2.38
O 0.6869 0.3131 0.9626  3 Pa 2.23-2.38
O 0.8441 0.1559 0.2500  1 Co 2.12, 2 Pa 2.21
O 0.9485 0.0515 0.5943  1 Co 1.89
O 0.9485 0.0515 0.9057  1 Co 1.89